! Be17CoOs, optimized geometry, DFT GGA-PBE; values from VASP
! SG: R3m, No. 160
! energy of formation: -128 meV per atom
! D(E_F): 1.57 states/eV/cell
&SYSTEM
  ibrav = 0, nat = 19, ntyp = 3
/
ATOMIC_SPECIES
Be 9.01 Be.upf
Co 58.93 Co.upf
Os 190.23 Os.upf
CELL_PARAMETERS angstrom
5.3779 0.0256 0.6631
0.5895 5.3456 0.6631
0.0284 0.0256 5.4186
ATOMIC_POSITIONS angstrom
Be 3.6085 0.8959 4.0592
Be 2.0498 3.7005 0.6728
Be 5.3854 4.8473 6.0581
Be 1.2694 3.4946 4.0592
Be 0.4280 3.7005 2.1146
Be 3.8825 3.4946 1.7362
Be 4.7152 1.9005 2.6824
Be 3.3138 5.3556 6.3823
Be 2.1115 1.9005 4.9970
Be 1.6636 0.0376 3.9470
Be 5.9501 5.3556 4.0388
Be 0.2118 1.6504 3.9470
Be 2.3846 4.4898 2.6824
Be 3.8950 1.6504 0.6728
Be 0.6365 0.5729 0.7160
Be 5.6736 2.7338 6.3823
Be 3.7250 0.0376 2.1146
Co 2.0833 1.8751 2.3435
Os 3.9723 3.5755 4.4685